A geometry-optimized PrSnBi2 structure, computed with GGA-PBE.

Computed properties:
Polymorph energy (0 for the lowest one) ... 0 meV/atom
Density ... 9.3 g/cm3
Calculated formation energy ... -0.4683 eV per atom

```
data_PrSnBi2
_cell_length_a 7.012
_cell_length_b 8.683
_cell_length_c 7.983
_cell_angle_alpha 90.00
_cell_angle_beta 90.00
_cell_angle_gamma 90.00
_symmetry_space_group_name_H-M 'I m m a'
_symmetry_Int_Tables_number 74
_symmetry_space_group_name_Hall '-I 2b 2'
loop_
_atom_site_label
_atom_site_fract_x
_atom_site_fract_y
_atom_site_fract_z
_atom_site_occupancy
Pr1 0.000 0.250 0.052 1
Sn1 0.000 0.250 0.479 1
Bi1 0.250 0.035 0.750 1
```


A geometry-optimized Pr4SnBi2 structure, computed with GGA-PBE.

Computed properties:
Density ... 7.9 g/cm3
Calculated formation energy ... -0.8184 eV per atom

```
data_Pr4SnBi2
_cell_length_a 9.721
_cell_length_b 9.721
_cell_length_c 9.769
_cell_angle_alpha 90.00
_cell_angle_beta 90.00
_cell_angle_gamma 90.00
_symmetry_space_group_name_H-M 'I -4 2 d'
_symmetry_Int_Tables_number 122
_symmetry_space_group_name_Hall 'I -4 2bw'
loop_
_atom_site_label
_atom_site_fract_x
_atom_site_fract_y
_atom_site_fract_z
_atom_site_occupancy
Pr1 0.070 0.681 0.449 1
Sn1 0.000 0.000 0.500 1
Bi1 0.123 0.750 0.125 1
```


A geometry-optimized PrSnBi2 structure, computed with GGA-PBE.

Computed properties:
Polymorph energy (0 for the lowest one) ... 49 meV/atom
Density ... 9.2 g/cm3
Calculated formation energy ... -0.4191 eV per atom

```
data_PrSnBi2
_cell_length_a 6.357
_cell_length_b 11.339
_cell_length_c 6.800
_cell_angle_alpha 90.00
_cell_angle_beta 90.00
_cell_angle_gamma 90.00
_symmetry_space_group_name_H-M 'P n a 21'
_symmetry_Int_Tables_number 33
loop_
_symmetry_equiv_pos_as_xyz
'x,y,z'
'-x,-y,z+1/2'
'-x+1/2,y+1/2,z+1/2'
'x+1/2,-y+1/2,z'
loop_
_atom_site_label
_atom_site_fract_x
_atom_site_fract_y
_atom_site_fract_z
_atom_site_occupancy
Pr1 0.144 0.114 0.000 1
Sn1 0.149 0.375 0.742 1
Bi1 0.137 0.381 0.245 1
Bi2 0.157 0.126 0.503 1
```


A geometry-optimized Pr2SnBi5 structure, computed with GGA-PBE.

Computed properties:
Density ... 9.7 g/cm3
Calculated formation energy ... -0.4554 eV per atom

```
data_Pr2SnBi5
_cell_length_a 9.556
_cell_length_b 10.369
_cell_length_c 5.006
_cell_angle_alpha 90.00
_cell_angle_beta 90.00
_cell_angle_gamma 90.00
_symmetry_space_group_name_H-M 'C m m m'
_symmetry_Int_Tables_number 65
_symmetry_space_group_name_Hall '-C 2 2'
loop_
_atom_site_label
_atom_site_fract_x
_atom_site_fract_y
_atom_site_fract_z
_atom_site_occupancy
Pr1 0.000 0.241 0.000 1
Sn1 0.000 0.000 0.500 1
Bi1 0.000 0.500 0.500 1
Bi2 0.247 0.500 0.000 1
Bi3 0.250 0.250 0.500 1
```